Below is crystalline Cr3CO at its relaxed geometry, with properties calculated at the PBE with a Hubbard U level.

- Symmetry: Pm-3m, No. 221
- Polymorph energy (0 for the lowest one): 0 meV/atom
- Total magnetic moment: 2.4000 μB per atom

abc: 4.141 4.141 4.141
angles: 90.00 90.00 90.00
Last column: magnetic moment on the atom in μB.
Sites, in units of the cell vectors:
Cr1 0.000 0.500 0.000  3.96
Cr2 0.000 0.000 0.500  4.10
Cr3 0.500 0.000 0.000  3.71
C1 0.000 0.000 0.000  -0.42
O1 0.500 0.500 0.500  -0.11